Record 1
Ba2AlInSb | PBE | relaxed

Cell lengths 6.639, 6.639, 5.536 Å; angles 90.00, 90.00, 90.00 degrees
Space group P4/mmm (No. 123)
Inequivalent atoms, fractional coordinates:
1 Ba 0.000 0.500 0.000 x2
2 Al 0.000 0.000 0.500 x1
3 In 0.500 0.500 0.500 x1
4 Sb 0.500 0.500 0.000 x1

Record 2
Ba2AlInSe5 | PBE | relaxed

Cell lengths 4.135, 20.045, 12.996 Å; angles 90.00, 90.00, 90.00 degrees
Space group Cmc2_1 (No. 36)
Inequivalent atoms, fractional coordinates:
1 Ba 0.000 0.115 0.000 x4
2 Ba 0.000 0.118 0.618 x4
3 Al 0.000 0.436 0.764 x4
4 In 0.000 0.223 0.343 x4
5 Se 0.000 0.044 0.365 x4
6 Se 0.000 0.284 0.985 x4
7 Se 0.000 0.320 0.705 x4
8 Se 0.000 0.353 0.310 x4
9 Se 0.000 0.493 0.604 x4

Record 3
BaAlIn2Se6 | PBE | relaxed

Cell lengths 14.351, 13.062, 8.332 Å; angles 90.00, 119.19, 90.00 degrees
Space group C2/c (No. 15)
Inequivalent atoms, fractional coordinates:
1 Ba 0.000 0.162 0.250 x4
2 Al 0.000 0.163 0.750 x4
3 In 0.186 0.424 0.102 x8
4 Se 0.110 0.052 0.670 x8
5 Se 0.118 0.428 0.359 x8
6 Se 0.129 0.233 0.039 x8

Record 4
BaAlIn2Si | PBE | relaxed

Cell lengths 5.187, 5.187, 6.226 Å; angles 90.00, 90.00, 90.00 degrees
Space group P4/mmm (No. 123)
Inequivalent atoms, fractional coordinates:
1 Ba 0.000 0.000 0.000 x1
2 Al 0.000 0.000 0.500 x1
3 In 0.000 0.500 0.500 x2
4 Si 0.500 0.500 0.000 x1

| no. | magnetization (μB per formula unit) | calculated volume (Å³ per cell) | formation energy without anion corrections (eV/atom) |
| --- | --- | --- | --- |
| 1 | 0.0 | 244.0 | 0.057 |
| 2 | 0.0 | 1077.1 | -1.322 |
| 3 | 1.0 | 1363.5 | -0.805 |
| 4 | 0.0 | 167.5 | 0.480 |